1.
A plane-wave DFT calculation with GGA-PBE was carried out for crystalline PrGa12Co6 at its relaxed geometry.

Summary:
Energy relative to the elements in eV per atom: -0.259

a = 6.9423 Å, b = 6.9423 Å, c = 6.9423 Å
α = 104.92°, β = 104.92°, γ = 104.92°
Atoms (fractional coordinates):
Pr: 0.0000 0.0000 0.0000
Ga: 0.4177 0.1487 0.4177
Ga: 0.1487 0.4177 0.4177
Co: 0.2708 0.2708 0.6882
Ga: 0.1184 0.8816 0.5000
Co: 0.7292 0.3118 0.7292
Ga: 0.4177 0.4177 0.1487
Co: 0.2708 0.6882 0.2708
Ga: 0.5000 0.8816 0.1184
Ga: 0.1184 0.5000 0.8816
Co: 0.6882 0.2708 0.2708
Co: 0.3118 0.7292 0.7292
Co: 0.7292 0.7292 0.3118
Ga: 0.5823 0.5823 0.8513
Ga: 0.8816 0.5000 0.1184
Ga: 0.5823 0.8513 0.5823
Ga: 0.8816 0.1184 0.5000
Ga: 0.8513 0.5823 0.5823
Ga: 0.5000 0.1184 0.8816

2.
A plane-wave DFT calculation with GGA-PBE was carried out for crystalline LaPmNd4Ho2 at its relaxed geometry.

Summary:
Energy relative to the elements in eV per atom: 0.018

a = 3.6597 Å, b = 6.2920 Å, c = 12.1096 Å
α = 79.87°, β = 90.00°, γ = 90.00°
Atoms (fractional coordinates):
Nd: 0.5000 0.7512 0.2498
Nd: 0.0000 0.2481 0.2534
Nd: 0.0000 0.7519 0.7466
La: 0.5000 0.5000 0.0000
Pm: 0.0000 0.5000 0.5000
Ho: 0.0000 0.0000 0.0000
Nd: 0.5000 0.2488 0.7502
Ho: 0.5000 0.0000 0.5000

3.
A plane-wave DFT calculation with GGA-PBE was carried out for crystalline HoSi2Au6 at its relaxed geometry.

Summary:
ΔE_f (raw) in eV/atom: -0.32

a = 4.3736 Å, b = 4.3736 Å, c = 8.7049 Å
α = 90.00°, β = 90.00°, γ = 90.00°
Atoms (fractional coordinates):
Au: 0.5000 0.0000 0.7326
Au: 0.0000 0.5000 0.2674
Si: 0.5000 0.5000 0.1324
Ho: 0.0000 0.0000 0.0000
Au: 0.5000 0.5000 0.5000
Au: 0.0000 0.5000 0.7326
Au: 0.5000 0.0000 0.2674
Au: 0.0000 0.0000 0.5000
Si: 0.5000 0.5000 0.8676

4.
A plane-wave DFT calculation with GGA-PBE was carried out for crystalline Tm6SnPd12 at its relaxed geometry.

Summary:
Energy relative to the elements in eV per atom: -0.789

a = 7.2340 Å, b = 7.2340 Å, c = 7.2340 Å
α = 95.99°, β = 95.99°, γ = 95.99°
Atoms (fractional coordinates):
Pd: 0.3660 0.0426 0.1152
Tm: 0.6818 0.8442 0.2524
Pd: 0.2160 0.4480 0.5115
Pd: 0.5115 0.2160 0.4480
Pd: 0.0426 0.1152 0.3660
Tm: 0.7476 0.3182 0.1558
Pd: 0.7840 0.5520 0.4885
Pd: 0.6340 0.9574 0.8848
Tm: 0.3182 0.1558 0.7476
Pd: 0.4885 0.7840 0.5520
Pd: 0.4480 0.5115 0.2160
Pd: 0.1152 0.3660 0.0426
Tm: 0.1558 0.7476 0.3182
Tm: 0.8442 0.2524 0.6818
Sn: 0.0000 0.0000 0.0000
Tm: 0.2524 0.6818 0.8442
Pd: 0.5520 0.4885 0.7840
Pd: 0.8848 0.6340 0.9574
Pd: 0.9574 0.8848 0.6340

5.
A plane-wave DFT calculation with GGA-PBE was carried out for crystalline Ca5In2H2 at its relaxed geometry.

Summary:
Energy relative to the lowest polymorph listed for this composition in eV per atom: 0.0266

a = 6.6156 Å, b = 6.5897 Å, c = 11.9896 Å
α = 105.95°, β = 106.02°, γ = 90.00°
Atoms (fractional coordinates):
H: 0.5000 0.4869 0.0000
Ca: 0.7514 0.7381 0.0024
Ca: 0.8320 0.8309 0.7075
Ca: 0.3755 0.3309 0.7075
H: 0.0000 0.9869 0.0000
Ca: 0.8330 0.1536 0.5000
Ca: 0.6245 0.6234 0.2925
In: 0.6163 0.0974 0.2200
In: 0.8963 0.3774 0.7800
Ca: 0.7510 0.2381 0.0024
Ca: 0.1670 0.6536 0.5000
In: 0.3837 0.8774 0.7800
H: 0.8361 0.7925 0.5000
In: 0.1037 0.5974 0.2200
Ca: 0.2490 0.2357 0.9976
Ca: 0.1680 0.1234 0.2925
Ca: 0.2486 0.7357 0.9976
H: 0.1639 0.2925 0.5000

6.
A plane-wave DFT calculation with GGA-PBE was carried out for crystalline EuCuRh at its relaxed geometry.

Summary:
Energy relative to the lowest polymorph listed for this composition in eV per atom: 0.0000
Energy relative to the elements in eV per atom: -0.210

a = 4.0291 Å, b = 4.2358 Å, c = 4.2358 Å
α = 120.00°, β = 90.00°, γ = 90.00°
Atoms (fractional coordinates):
Eu: 0.6667 0.6667 0.3333
Cu: 0.1667 0.0000 0.0000
Rh: 0.1666 0.3333 0.6667

7.
A plane-wave DFT calculation with GGA-PBE was carried out for crystalline PrNd2ZrP4 at its relaxed geometry.

Summary:
Energy relative to the elements in eV per atom: -1.457

a = 4.0558 Å, b = 7.0363 Å, c = 7.0304 Å
α = 109.20°, β = 90.00°, γ = 90.00°
Atoms (fractional coordinates):
P: 0.0000 0.7619 0.2410
Zr: 0.0000 0.0000 0.0000
P: 0.0000 0.2381 0.7590
P: 0.5000 0.7690 0.7676
Nd: 0.5000 0.0000 0.5000
P: 0.5000 0.2310 0.2324
Pr: 0.5000 0.5000 0.0000
Nd: 0.0000 0.5000 0.5000

8.
A plane-wave DFT calculation with GGA-PBE was carried out for crystalline La15In4Pb at its relaxed geometry.

Summary:
Energy relative to the elements in eV per atom: -0.318

a = 5.0681 Å, b = 5.0681 Å, c = 25.3172 Å
α = 90.00°, β = 90.00°, γ = 90.00°
Atoms (fractional coordinates):
In: 0.0000 0.0000 0.7998
La: 0.0000 0.5000 0.1004
La: 0.5000 0.5000 0.2013
Pb: 0.0000 0.0000 0.0000
In: 0.0000 0.0000 0.6000
La: 0.5000 0.0000 0.5000
La: 0.5000 0.5000 0.0000
La: 0.0000 0.5000 0.6999
In: 0.0000 0.0000 0.4000
La: 0.0000 0.5000 0.5000
La: 0.5000 0.0000 0.8996
La: 0.5000 0.0000 0.6999
La: 0.0000 0.5000 0.3001
La: 0.5000 0.0000 0.1004
La: 0.5000 0.5000 0.7987
La: 0.5000 0.0000 0.3001
In: 0.0000 0.0000 0.2002
La: 0.0000 0.5000 0.8996
La: 0.5000 0.5000 0.3999
La: 0.5000 0.5000 0.6001

9.
A plane-wave DFT calculation with GGA-PBE was carried out for crystalline Zr2In2Sb at its relaxed geometry.

Summary:
Energy relative to the lowest polymorph listed for this composition in eV per atom: 0.0000
ΔE_f (raw) in eV/atom: -0.32

a = 7.4404 Å, b = 7.4404 Å, c = 4.4646 Å
α = 90.00°, β = 90.00°, γ = 90.00°
Atoms (fractional coordinates):
Zr: 0.1557 0.3443 0.0000
Sb: 0.0000 0.0000 0.0000
Zr: 0.8443 0.6557 0.0000
In: 0.3507 0.1493 0.5000
In: 0.8507 0.3507 0.5000
Sb: 0.5000 0.5000 0.0000
Zr: 0.6557 0.1557 0.0000
Zr: 0.3443 0.8443 0.0000
In: 0.6493 0.8507 0.5000
In: 0.1493 0.6493 0.5000

10.
A plane-wave DFT calculation with GGA-PBE was carried out for crystalline YAgP2 at its relaxed geometry.

Summary:
Energy relative to the elements in eV per atom: -0.074

a = 4.7645 Å, b = 4.7645 Å, c = 4.7645 Å
α = 60.00°, β = 60.00°, γ = 60.00°
Atoms (fractional coordinates):
Y: 0.7500 0.7500 0.7500
P: 0.0000 0.0000 0.0000
P: 0.2500 0.2500 0.2500
Ag: 0.5000 0.5000 0.5000

11.
A plane-wave DFT calculation with GGA-PBE was carried out for crystalline HoZn4Ag at its relaxed geometry.

Summary:
Energy relative to the lowest polymorph listed for this composition in eV per atom: 0.0000
Energy relative to the elements in eV per atom: -0.187

a = 4.0243 Å, b = 6.5932 Å, c = 8.4939 Å
α = 90.00°, β = 103.70°, γ = 90.00°
Atoms (fractional coordinates):
Zn: 0.0714 0.7500 0.1428
Zn: 0.9286 0.2500 0.8572
Zn: 0.3400 0.0554 0.6799
Ag: 0.2375 0.7500 0.4751
Ho: 0.1112 0.2500 0.2225
Zn: 0.5000 0.5000 0.0000
Ag: 0.7625 0.2500 0.5249
Zn: 0.6600 0.5554 0.3201
Zn: 0.5000 0.0000 0.0000
Zn: 0.3400 0.4446 0.6799
Zn: 0.6600 0.9446 0.3201
Ho: 0.8888 0.7500 0.7775

12.
A plane-wave DFT calculation with GGA-PBE was carried out for crystalline KZnCd2F8 at its relaxed geometry.

Summary:
ΔE_f (raw) in eV/atom: -2.12

a = 5.0934 Å, b = 5.1688 Å, c = 7.1864 Å
α = 89.99°, β = 89.99°, γ = 87.76°
Atoms (fractional coordinates):
K: 0.0000 0.0000 0.5000
F: 0.6229 0.7071 0.5000
F: 0.1755 0.7916 0.8040
F: 0.3065 0.2794 0.0000
F: 0.3771 0.2929 0.5000
F: 0.6935 0.7206 0.0000
Cd: 0.5000 0.5000 0.2383
Cd: 0.5000 0.5000 0.7617
F: 0.8245 0.2084 0.8040
F: 0.1755 0.7916 0.1960
F: 0.8245 0.2084 0.1960
Zn: 0.0000 0.0000 0.0000

Number 1: size of the total moment 0.000 Bohr magnetons per cell, energy -4.67 eV/atom. Number 2: size of the total moment 0.000 Bohr magnetons per cell, energy -4.72 eV/atom. Number 3: size of the total moment 0.000 Bohr magnetons per cell, energy -4.22 eV/atom. Number 4: size of the total moment 0.000 Bohr magnetons per cell, energy -5.69 eV/atom. Number 5: size of the total moment 0.000 Bohr magnetons per cell, energy -2.82 eV/atom. Number 6: size of the total moment 6.747 Bohr magnetons per cell, energy -7.45 eV/atom. Number 7: size of the total moment 0.000 Bohr magnetons per cell, energy -7.02 eV/atom. Number 8: size of the total moment 0.000 Bohr magnetons per cell, energy -4.75 eV/atom. Number 9: size of the total moment 0.000 Bohr magnetons per cell, energy -5.66 eV/atom. Number 10: size of the total moment 0.000 Bohr magnetons per cell, energy -5.11 eV/atom. Number 11: size of the total moment 0.000 Bohr magnetons per cell, energy -2.27 eV/atom. Number 12: size of the total moment 0.668 Bohr magnetons per cell, energy -3.72 eV/atom.